# 1
# PBE Mg3In3Ga2, relaxed
data_Mg3In3Ga2
_chemical_formula_sum 'Mg3 In3 Ga2'
_symmetry_space_group_name_H-M 'P 1'
_symmetry_Int_Tables_number 1
_symmetry_space_group_name_Hall 'P 1'
_cell_length_a 4.358
_cell_length_b 4.634
_cell_length_c 9.387
_cell_angle_alpha 103.63
_cell_angle_beta 103.37
_cell_angle_gamma 90.47
loop_
_atom_site_label
_atom_site_type_symbol
_atom_site_fract_x
_atom_site_fract_y
_atom_site_fract_z
_atom_site_occupancy
Mg1 Mg 0.000 0.000 0.000 1
Mg2 Mg 0.132 0.633 0.267 1
Mg3 Mg 0.868 0.367 0.733 1
In1 In 0.370 0.874 0.740 1
In2 In 0.500 0.500 0.000 1
In3 In 0.630 0.126 0.260 1
Ga1 Ga 0.249 0.251 0.497 1
Ga2 Ga 0.751 0.749 0.503 1
# DOS(E_F) ... 2.384 states/eV per cell
# Magnetization ... 0.00 μB/f.u.
# Crystal system ... triclinic
# Calculated formation energy ... -67 meV/atom
# Symmetry ... P-1

---

# 2
# PBE Mg5In6Ga, relaxed
data_Mg5In6Ga
_chemical_formula_sum 'Mg5 In6 Ga1'
_symmetry_space_group_name_H-M 'P 1'
_symmetry_Int_Tables_number 1
_symmetry_space_group_name_Hall 'P 1'
_cell_length_a 8.430
_cell_length_b 8.430
_cell_length_c 4.636
_cell_angle_alpha 105.84
_cell_angle_beta 105.84
_cell_angle_gamma 63.64
loop_
_atom_site_label
_atom_site_type_symbol
_atom_site_fract_x
_atom_site_fract_y
_atom_site_fract_z
_atom_site_occupancy
Mg1 Mg 0.000 0.000 0.000 1
Mg2 Mg 0.172 0.172 0.671 1
Mg3 Mg 0.345 0.345 0.345 1
Mg4 Mg 0.655 0.655 0.655 1
Mg5 Mg 0.828 0.828 0.329 1
In1 In 0.080 0.587 0.834 1
In2 In 0.240 0.760 0.500 1
In3 In 0.413 0.920 0.166 1
In4 In 0.587 0.080 0.834 1
In5 In 0.760 0.240 0.500 1
In6 In 0.920 0.413 0.166 1
Ga1 Ga 0.500 0.500 0.000 1
# DOS(E_F) ... 3.318 states/eV per cell
# Magnetization ... 0.00 μB/f.u.
# Crystal system ... monoclinic
# Calculated formation energy ... -77 meV/atom
# Symmetry ... C2/m

---

# 3
# PBE Mg7In12Ga, relaxed
data_Mg7In12Ga
_chemical_formula_sum 'Mg7 In12 Ga1'
_symmetry_space_group_name_H-M 'P 1'
_symmetry_Int_Tables_number 1
_symmetry_space_group_name_Hall 'P 1'
_cell_length_a 6.018
_cell_length_b 9.925
_cell_length_c 10.010
_cell_angle_alpha 114.40
_cell_angle_beta 100.81
_cell_angle_gamma 101.68
loop_
_atom_site_label
_atom_site_type_symbol
_atom_site_fract_x
_atom_site_fract_y
_atom_site_fract_z
_atom_site_occupancy
Mg1 Mg 0.000 0.000 0.000 1
Mg2 Mg 0.157 0.780 0.716 1
Mg3 Mg 0.381 0.940 0.226 1
Mg4 Mg 0.457 0.292 0.065 1
Mg5 Mg 0.543 0.708 0.935 1
Mg6 Mg 0.619 0.060 0.774 1
Mg7 Mg 0.843 0.220 0.284 1
In1 In 0.015 0.643 0.936 1
In2 In 0.099 0.084 0.718 1
In3 In 0.147 0.445 0.626 1
In4 In 0.287 0.830 0.453 1
In5 In 0.387 0.302 0.374 1
In6 In 0.456 0.626 0.190 1
In7 In 0.544 0.374 0.810 1
In8 In 0.613 0.698 0.626 1
In9 In 0.713 0.170 0.547 1
In10 In 0.853 0.555 0.374 1
In11 In 0.901 0.916 0.282 1
In12 In 0.985 0.357 0.064 1
Ga1 Ga 0.500 0.000 0.000 1
# DOS(E_F) ... 6.764 states/eV per cell
# Magnetization ... 0.00 μB/f.u.
# Crystal system ... triclinic
# Calculated formation energy ... -20 meV/atom
# Symmetry ... P-1

---

# 4
# PBE Mg5InGa2, relaxed
data_Mg5InGa2
_chemical_formula_sum 'Mg10 In2 Ga4'
_symmetry_space_group_name_H-M 'P 1'
_symmetry_Int_Tables_number 1
_symmetry_space_group_name_Hall 'P 1'
_cell_length_a 4.790
_cell_length_b 4.790
_cell_length_c 18.537
_cell_angle_alpha 90.00
_cell_angle_beta 90.00
_cell_angle_gamma 120.00
loop_
_atom_site_label
_atom_site_type_symbol
_atom_site_fract_x
_atom_site_fract_y
_atom_site_fract_z
_atom_site_occupancy
Mg1 Mg 0.000 0.000 0.152 1
Mg2 Mg 0.000 0.000 0.348 1
Mg3 Mg 0.000 0.000 0.652 1
Mg4 Mg 0.000 0.000 0.848 1
Mg5 Mg 0.333 0.667 0.054 1
Mg6 Mg 0.333 0.667 0.250 1
Mg7 Mg 0.333 0.667 0.446 1
Mg8 Mg 0.667 0.333 0.554 1
Mg9 Mg 0.667 0.333 0.750 1
Mg10 Mg 0.667 0.333 0.946 1
In1 In 0.333 0.667 0.750 1
In2 In 0.667 0.333 0.250 1
Ga1 Ga 0.333 0.667 0.598 1
Ga2 Ga 0.333 0.667 0.902 1
Ga3 Ga 0.667 0.333 0.098 1
Ga4 Ga 0.667 0.333 0.402 1
# DOS(E_F) ... 4.612 states/eV per cell
# Magnetization ... 0.00 μB/f.u.
# Crystal system ... hexagonal
# Calculated formation energy ... -40 meV/atom
# Symmetry ... P6_3/mmc

---

# 5
# PBE Mg4InGa, relaxed
data_Mg4InGa
_chemical_formula_sum 'Mg4 In1 Ga1'
_symmetry_space_group_name_H-M 'P 1'
_symmetry_Int_Tables_number 1
_symmetry_space_group_name_Hall 'P 1'
_cell_length_a 5.813
_cell_length_b 5.813
_cell_length_c 5.813
_cell_angle_alpha 60.00
_cell_angle_beta 60.00
_cell_angle_gamma 60.00
loop_
_atom_site_label
_atom_site_type_symbol
_atom_site_fract_x
_atom_site_fract_y
_atom_site_fract_z
_atom_site_occupancy
Mg1 Mg 0.125 0.125 0.125 1
Mg2 Mg 0.125 0.125 0.625 1
Mg3 Mg 0.125 0.625 0.125 1
Mg4 Mg 0.625 0.125 0.125 1
In1 In 0.750 0.750 0.750 1
Ga1 Ga 0.500 0.500 0.500 1
# DOS(E_F) ... 1.415 states/eV per cell
# Magnetization ... 0.00 μB/f.u.
# Crystal system ... cubic
# Calculated formation energy ... 57 meV/atom
# Symmetry ... F-43m

---

# 6
# PBE Mg12InGa3, relaxed
data_Mg12InGa3
_chemical_formula_sum 'Mg12 In1 Ga3'
_symmetry_space_group_name_H-M 'P 1'
_symmetry_Int_Tables_number 1
_symmetry_space_group_name_Hall 'P 1'
_cell_length_a 4.342
_cell_length_b 4.342
_cell_length_c 17.920
_cell_angle_alpha 90.00
_cell_angle_beta 90.00
_cell_angle_gamma 90.00
loop_
_atom_site_label
_atom_site_type_symbol
_atom_site_fract_x
_atom_site_fract_y
_atom_site_fract_z
_atom_site_occupancy
Mg1 Mg 0.000 0.000 0.000 1
Mg2 Mg 0.000 0.000 0.246 1
Mg3 Mg 0.000 0.000 0.500 1
Mg4 Mg 0.000 0.000 0.754 1
Mg5 Mg 0.000 0.500 0.123 1
Mg6 Mg 0.000 0.500 0.369 1
Mg7 Mg 0.000 0.500 0.631 1
Mg8 Mg 0.000 0.500 0.877 1
Mg9 Mg 0.500 0.000 0.123 1
Mg10 Mg 0.500 0.000 0.369 1
Mg11 Mg 0.500 0.000 0.631 1
Mg12 Mg 0.500 0.000 0.877 1
In1 In 0.500 0.500 0.500 1
Ga1 Ga 0.500 0.500 0.000 1
Ga2 Ga 0.500 0.500 0.246 1
Ga3 Ga 0.500 0.500 0.754 1
# DOS(E_F) ... 7.476 states/eV per cell
# Magnetization ... 0.00 μB/f.u.
# Crystal system ... tetragonal
# Calculated formation energy ... -82 meV/atom
# Symmetry ... P4/mmm

---

# 7
# PBE MgIn2Ga6, relaxed
data_MgIn2Ga6
_chemical_formula_sum 'Mg1 In2 Ga6'
_symmetry_space_group_name_H-M 'P 1'
_symmetry_Int_Tables_number 1
_symmetry_space_group_name_Hall 'P 1'
_cell_length_a 8.683
_cell_length_b 8.683
_cell_length_c 2.954
_cell_angle_alpha 90.00
_cell_angle_beta 90.00
_cell_angle_gamma 120.00
loop_
_atom_site_label
_atom_site_type_symbol
_atom_site_fract_x
_atom_site_fract_y
_atom_site_fract_z
_atom_site_occupancy
Mg1 Mg 0.000 0.000 0.000 1
In1 In 0.333 0.667 0.500 1
In2 In 0.667 0.333 0.500 1
Ga1 Ga 0.000 0.320 0.504 1
Ga2 Ga 0.000 0.680 0.496 1
Ga3 Ga 0.320 0.000 0.504 1
Ga4 Ga 0.320 0.320 0.496 1
Ga5 Ga 0.680 0.000 0.496 1
Ga6 Ga 0.680 0.680 0.504 1
# DOS(E_F) ... 4.793 states/eV per cell
# Magnetization ... 0.00 μB/f.u.
# Crystal system ... trigonal
# Calculated formation energy ... 38 meV/atom
# Symmetry ... P-31m

---

# 8
# PBE Mg3In12Ga5, relaxed
data_Mg3In12Ga5
_chemical_formula_sum 'Mg12 In48 Ga20'
_symmetry_space_group_name_H-M 'P 1'
_symmetry_Int_Tables_number 1
_symmetry_space_group_name_Hall 'P 1'
_cell_length_a 14.340
_cell_length_b 14.340
_cell_length_c 14.340
_cell_angle_alpha 109.47
_cell_angle_beta 109.47
_cell_angle_gamma 109.47
loop_
_atom_site_label
_atom_site_type_symbol
_atom_site_fract_x
_atom_site_fract_y
_atom_site_fract_z
_atom_site_occupancy
Mg1 Mg 0.125 0.250 0.375 1
Mg2 Mg 0.125 0.375 0.750 1
Mg3 Mg 0.250 0.375 0.125 1
Mg4 Mg 0.250 0.875 0.625 1
Mg5 Mg 0.375 0.125 0.250 1
Mg6 Mg 0.375 0.750 0.125 1
Mg7 Mg 0.625 0.250 0.875 1
Mg8 Mg 0.625 0.875 0.750 1
Mg9 Mg 0.750 0.125 0.375 1
Mg10 Mg 0.750 0.625 0.875 1
Mg11 Mg 0.875 0.625 0.250 1
Mg12 Mg 0.875 0.750 0.625 1
In1 In 0.052 0.225 0.123 1
In2 In 0.052 0.327 0.930 1
In3 In 0.070 0.623 0.397 1
In4 In 0.070 0.948 0.673 1
In5 In 0.103 0.725 0.673 1
In6 In 0.103 0.877 0.430 1
In7 In 0.123 0.052 0.225 1
In8 In 0.123 0.570 0.897 1
In9 In 0.173 0.225 0.603 1
In10 In 0.173 0.448 0.570 1
In11 In 0.225 0.123 0.052 1
In12 In 0.225 0.603 0.173 1
In13 In 0.275 0.327 0.897 1
In14 In 0.275 0.448 0.377 1
In15 In 0.327 0.897 0.275 1
In16 In 0.327 0.930 0.052 1
In17 In 0.377 0.275 0.448 1
In18 In 0.377 0.603 0.930 1
In19 In 0.397 0.070 0.623 1
In20 In 0.397 0.827 0.775 1
In21 In 0.430 0.103 0.877 1
In22 In 0.430 0.827 0.552 1
In23 In 0.448 0.377 0.275 1
In24 In 0.448 0.570 0.173 1
In25 In 0.552 0.430 0.827 1
In26 In 0.552 0.623 0.725 1
In27 In 0.570 0.173 0.448 1
In28 In 0.570 0.897 0.123 1
In29 In 0.603 0.173 0.225 1
In30 In 0.603 0.930 0.377 1
In31 In 0.623 0.397 0.070 1
In32 In 0.623 0.725 0.552 1
In33 In 0.673 0.070 0.948 1
In34 In 0.673 0.103 0.725 1
In35 In 0.725 0.552 0.623 1
In36 In 0.725 0.673 0.103 1
In37 In 0.775 0.397 0.827 1
In38 In 0.775 0.877 0.948 1
In39 In 0.827 0.552 0.430 1
In40 In 0.827 0.775 0.397 1
In41 In 0.877 0.430 0.103 1
In42 In 0.877 0.948 0.775 1
In43 In 0.897 0.123 0.570 1
In44 In 0.897 0.275 0.327 1
In45 In 0.930 0.052 0.327 1
In46 In 0.930 0.377 0.603 1
In47 In 0.948 0.673 0.070 1
In48 In 0.948 0.775 0.877 1
Ga1 Ga 0.000 0.000 0.000 1
Ga2 Ga 0.000 0.000 0.500 1
Ga3 Ga 0.000 0.500 0.000 1
Ga4 Ga 0.000 0.500 0.500 1
Ga5 Ga 0.125 0.750 0.875 1
Ga6 Ga 0.125 0.875 0.250 1
Ga7 Ga 0.250 0.125 0.875 1
Ga8 Ga 0.250 0.625 0.375 1
Ga9 Ga 0.375 0.250 0.625 1
Ga10 Ga 0.375 0.625 0.750 1
Ga11 Ga 0.500 0.000 0.000 1
Ga12 Ga 0.500 0.000 0.500 1
Ga13 Ga 0.500 0.500 0.000 1
Ga14 Ga 0.500 0.500 0.500 1
Ga15 Ga 0.625 0.375 0.250 1
Ga16 Ga 0.625 0.750 0.375 1
Ga17 Ga 0.750 0.375 0.625 1
Ga18 Ga 0.750 0.875 0.125 1
Ga19 Ga 0.875 0.125 0.750 1
Ga20 Ga 0.875 0.250 0.125 1
# DOS(E_F) ... 41.150 states/eV per cell
# Magnetization ... 0.00 μB/f.u.
# Crystal system ... cubic
# Calculated formation energy ... 149 meV/atom
# Symmetry ... Ia-3d

---

# 9
# PBE MgIn2Ga9, relaxed
data_MgIn2Ga9
_chemical_formula_sum 'Mg1 In2 Ga9'
_symmetry_space_group_name_H-M 'P 1'
_symmetry_Int_Tables_number 1
_symmetry_space_group_name_Hall 'P 1'
_cell_length_a 4.260
_cell_length_b 4.260
_cell_length_c 13.294
_cell_angle_alpha 90.00
_cell_angle_beta 90.00
_cell_angle_gamma 90.00
loop_
_atom_site_label
_atom_site_type_symbol
_atom_site_fract_x
_atom_site_fract_y
_atom_site_fract_z
_atom_site_occupancy
Mg1 Mg 0.000 0.000 0.000 1
In1 In 0.000 0.000 0.324 1
In2 In 0.000 0.000 0.676 1
Ga1 Ga 0.000 0.500 0.154 1
Ga2 Ga 0.000 0.500 0.500 1
Ga3 Ga 0.000 0.500 0.846 1
Ga4 Ga 0.500 0.000 0.154 1
Ga5 Ga 0.500 0.000 0.500 1
Ga6 Ga 0.500 0.000 0.846 1
Ga7 Ga 0.500 0.500 0.000 1
Ga8 Ga 0.500 0.500 0.331 1
Ga9 Ga 0.500 0.500 0.669 1
# DOS(E_F) ... 5.213 states/eV per cell
# Magnetization ... 0.00 μB/f.u.
# Crystal system ... tetragonal
# Calculated formation energy ... 11 meV/atom
# Symmetry ... P4/mmm

---

# 10
# PBE MgIn2Ga6, relaxed
data_MgIn2Ga6
_chemical_formula_sum 'Mg1 In2 Ga6'
_symmetry_space_group_name_H-M 'P 1'
_symmetry_Int_Tables_number 1
_symmetry_space_group_name_Hall 'P 1'
_cell_length_a 7.851
_cell_length_b 7.851
_cell_length_c 3.645
_cell_angle_alpha 90.06
_cell_angle_beta 90.06
_cell_angle_gamma 60.14
loop_
_atom_site_label
_atom_site_type_symbol
_atom_site_fract_x
_atom_site_fract_y
_atom_site_fract_z
_atom_site_occupancy
Mg1 Mg 0.000 0.000 0.000 1
In1 In 0.333 0.333 0.000 1
In2 In 0.667 0.667 0.000 1
Ga1 Ga 0.000 0.331 0.499 1
Ga2 Ga 0.000 0.669 0.501 1
Ga3 Ga 0.331 0.000 0.499 1
Ga4 Ga 0.331 0.669 0.500 1
Ga5 Ga 0.669 0.000 0.501 1
Ga6 Ga 0.669 0.331 0.500 1
# DOS(E_F) ... 3.307 states/eV per cell
# Magnetization ... 0.00 μB/f.u.
# Crystal system ... monoclinic
# Calculated formation energy ... 32 meV/atom
# Symmetry ... C2/m

---

# 11
# PBE Mg3In4Ga2, relaxed
data_Mg3In4Ga2
_chemical_formula_sum 'Mg6 In8 Ga4'
_symmetry_space_group_name_H-M 'P 1'
_symmetry_Int_Tables_number 1
_symmetry_space_group_name_Hall 'P 1'
_cell_length_a 8.080
_cell_length_b 8.080
_cell_length_c 10.804
_cell_angle_alpha 110.98
_cell_angle_beta 110.98
_cell_angle_gamma 39.90
loop_
_atom_site_label
_atom_site_type_symbol
_atom_site_fract_x
_atom_site_fract_y
_atom_site_fract_z
_atom_site_occupancy
Mg1 Mg 0.081 0.919 0.750 1
Mg2 Mg 0.299 0.465 0.140 1
Mg3 Mg 0.465 0.299 0.640 1
Mg4 Mg 0.535 0.701 0.360 1
Mg5 Mg 0.701 0.535 0.860 1
Mg6 Mg 0.919 0.081 0.250 1
In1 In 0.063 0.565 0.830 1
In2 In 0.202 0.687 0.441 1
In3 In 0.313 0.798 0.059 1
In4 In 0.435 0.937 0.670 1
In5 In 0.565 0.063 0.330 1
In6 In 0.687 0.202 0.941 1
In7 In 0.798 0.313 0.559 1
In8 In 0.937 0.435 0.170 1
Ga1 Ga 0.118 0.265 0.436 1
Ga2 Ga 0.265 0.118 0.936 1
Ga3 Ga 0.735 0.882 0.064 1
Ga4 Ga 0.882 0.735 0.564 1
# DOS(E_F) ... 7.640 states/eV per cell
# Magnetization ... 0.00 μB/f.u.
# Crystal system ... monoclinic
# Calculated formation energy ... -48 meV/atom
# Symmetry ... C2/c

---

# 12
# PBE Mg2InGa, relaxed
data_Mg2InGa
_chemical_formula_sum 'Mg2 In1 Ga1'
_symmetry_space_group_name_H-M 'P 1'
_symmetry_Int_Tables_number 1
_symmetry_space_group_name_Hall 'P 1'
_cell_length_a 5.744
_cell_length_b 5.744
_cell_length_c 5.744
_cell_angle_alpha 47.70
_cell_angle_beta 47.70
_cell_angle_gamma 47.70
loop_
_atom_site_label
_atom_site_type_symbol
_atom_site_fract_x
_atom_site_fract_y
_atom_site_fract_z
_atom_site_occupancy
Mg1 Mg 0.000 0.000 0.000 1
Mg2 Mg 0.213 0.213 0.213 1
In1 In 0.431 0.431 0.431 1
Ga1 Ga 0.622 0.622 0.622 1
# DOS(E_F) ... 1.733 states/eV per cell
# Magnetization ... 0.00 μB/f.u.
# Crystal system ... trigonal
# Calculated formation energy ... -21 meV/atom
# Symmetry ... R3m

---

Which value of DOS(E_F) does entry 7 give? 4.793 states/eV per cell

---

Which value of DOS(E_F) does entry 1 give? 2.384 states/eV per cell

---

What is the calculated formation energy in the first record? -67 meV/atom